[1]
Computed, not measured: a relaxed Y2NiRu crystal at the PBE level of DFT.

V, Å³/f.u.: 85.1
Total moment, μB per formula unit: 0.00
Total energy, eV per cell: -84.158

Cell: 3.5725 3.5725 23.0996 Å, 90.00 90.00 120.00°
Space group R-3m (No. 166, hexagonal axes)
One atom of each set of equivalent atoms:
Y  0.0000  0.0000  0.2485 x6
Ni  0.0000  0.0000  0.5000 x3
Ru  0.0000  0.0000  0.0000 x3

[2]
Computed, not measured: a relaxed Y2Ni15Ru2 crystal at the PBE level of DFT.

V, Å³/f.u.: 246.1
Total moment, μB per formula unit: 7.51
Total energy, eV per cell: -363.663

Cell: 8.3268 8.3268 12.2978 Å, 90.00 90.00 120.00°
Space group R-3m (No. 166, hexagonal axes)
One atom of each set of equivalent atoms:
Y  0.0000  0.0000  0.1560 x6
Ni  0.0000  0.2999  0.5000 x18
Ni  0.0000  0.5000  0.0000 x9
Ni  0.9999  0.5000  0.3435 x18
Ru  0.0000  0.0000  0.4035 x6

[3]
Computed, not measured: a relaxed Y4NiRu crystal at the PBE level of DFT.

V, Å³/f.u.: 147.8
Total moment, μB per formula unit: 0.00
Total energy, eV per cell: -140.693

Cell: 8.394 8.394 8.394 Å, 90.00 90.00 90.00°
Space group F-43m (No. 216)
One atom of each set of equivalent atoms:
Y  0.124  0.124  0.376 x16
Ni  0.000  0.000  0.000 x4
Ru  0.250  0.250  0.750 x4

[4]
Computed, not measured: a relaxed YNiRu2 crystal at the PBE level of DFT.

V, Å³/f.u.: 67.4
Total moment, μB per formula unit: 1.89
Total energy, eV per cell: -86.056

Cell: 3.1174 3.1174 24.0416 Å, 90.00 90.00 120.00°
Space group R-3m (No. 166, hexagonal axes)
One atom of each set of equivalent atoms:
Y  0.0000  0.0000  0.0000 x3
Ni  0.0000  0.0000  0.5000 x3
Ru  0.0000  0.0000  0.2392 x6

[5]
Computed, not measured: a relaxed Y2NiRu crystal at the PBE level of DFT.

V, Å³/f.u.: 79.0
Total moment, μB per formula unit: 0.00
Total energy, eV per cell: -58.839

Cell: 4.811 4.811 6.830 Å, 90.00 90.00 90.00°
Space group I4/mmm (No. 139)
One atom of each set of equivalent atoms:
Y  0.000  0.500  0.250 x4
Ni  0.000  0.000  0.000 x2
Ru  0.000  0.000  0.500 x2

[6]
Computed, not measured: a relaxed Y6NiRu5 crystal at the PBE level of DFT.

V, Å³/f.u.: 238.4
Total moment, μB per formula unit: 0.00
Total energy, eV per cell: -189.334

Cell: 4.830 14.447 6.834 Å, 90.00 90.00 90.00°
Space group Cmmm (No. 65)
One atom of each set of equivalent atoms:
Y  0.000  0.000  0.248 x4
Y  0.000  0.332  0.249 x8
Ni  0.000  0.500  0.500 x2
Ru  0.000  0.165  0.500 x4
Ru  0.000  0.166  0.000 x4
Ru  0.000  0.500  0.000 x2

[7]
Computed, not measured: a relaxed Y2NiRu crystal at the PBE level of DFT.

V, Å³/f.u.: 75.4
Total moment, μB per formula unit: 0.00
Total energy, eV per cell: -110.118

Cell: 6.706 6.706 6.706 Å, 90.00 90.00 90.00°
Space group F-43m (No. 216)
One atom of each set of equivalent atoms:
Y  0.000  0.000  0.000 x4
Y  0.250  0.250  0.250 x4
Ni  0.250  0.250  0.750 x4
Ru  0.000  0.000  0.500 x4

[8]
Computed, not measured: a relaxed YNi2Ru crystal at the PBE level of DFT.

V, Å³/f.u.: 61.1
Total moment, μB per formula unit: 0.78
Total energy, eV per cell: -27.457

Cell: 4.034 4.034 3.751 Å, 90.00 90.00 90.00°
Space group P4mm (No. 99)
One atom of each set of equivalent atoms:
Y  0.000  0.000  0.000 x1
Ni  0.000  0.500  0.501 x2
Ru  0.500  0.500  0.008 x1